Density functional theory data (PBE-GGA) for a relaxed structure of SbSeF3.

Calculated values
Electronic total energy = -15.6 eV per cell
Formation energy without anion corrections = -0.484 eV per atom
ΔE to the lowest computed polymorph = 1.303 eV/atom

Cell: 4.462 4.462 4.462 Å, 90.00 90.00 90.00°
Fractional positions:
F1 0.500 0.000 0.000
F2 0.000 0.000 0.500
F3 0.000 0.500 0.000
Sb1 0.500 0.500 0.500
Se1 0.000 0.000 0.000